(1)
# GaCSe2Br

A relaxed GaCSe2Br crystal (PBE, Alexandria via LeMat-Bulk).

Summary:
Magnetization   0.42 μB per formula unit
SG   P4/mmm, No. 123
Polymorph energy (0 for the lowest one)   724 meV/atom
Density of states at the Fermi level   5.2 states/eV/f.u.
Energy relative to the elements, uncorrected   35.638 kcal/mol of atoms

The structure in extended XYZ format:
```
5
Lattice="5.045 0.000 0.000 0.000 5.045 0.000 0.000 0.000 5.068" Properties=species:S:1:pos:R:3 pbc="T T T"
Ga 0.000 0.000 0.000
C 2.522 2.522 2.534
Se 0.000 2.522 0.000
Se 2.522 0.000 0.000
Br 0.000 0.000 2.534
```

(2)
# Ge3CBr

A relaxed Ge3CBr crystal (PBE, Alexandria via LeMat-Bulk).

Summary:
Magnetization   0.00 μB per formula unit
SG   Pm-3m, No. 221
Polymorph energy (0 for the lowest one)   0 meV/atom
Density of states at the Fermi level   4.2 states/eV/f.u.
Energy relative to the elements, uncorrected   24.009 kcal/mol of atoms

The structure in extended XYZ format:
```
5
Lattice="4.622 0.000 0.000 0.000 4.622 0.000 0.000 0.000 4.622" Properties=species:S:1:pos:R:3 pbc="T T T"
Ge 0.000 0.000 2.311
Ge 0.000 2.311 0.000
Ge 2.311 0.000 0.000
C 0.000 0.000 0.000
Br 2.311 2.311 2.311
```

(3)
# Ge3CBr

A relaxed Ge3CBr crystal (PBE, Alexandria via LeMat-Bulk).

Summary:
Magnetization   0.61 μB per formula unit
SG   Pm-3m, No. 221
Polymorph energy (0 for the lowest one)   1185 meV/atom
Density of states at the Fermi level   1.9 states/eV/f.u.
Energy relative to the elements, uncorrected   51.325 kcal/mol of atoms

The structure in extended XYZ format:
```
5
Lattice="5.171 0.000 0.000 0.000 5.171 0.000 0.000 0.000 5.171" Properties=species:S:1:pos:R:3 pbc="T T T"
Ge 0.000 0.000 2.585
Ge 0.000 2.585 0.000
Ge 2.585 0.000 0.000
C 2.585 2.585 2.585
Br 0.000 0.000 0.000
```

(4)
# GeC3Br

A relaxed GeC3Br crystal (PBE, Alexandria via LeMat-Bulk).

Summary:
Magnetization   1.75 μB per formula unit
SG   Pm-3m, No. 221
Polymorph energy (0 for the lowest one)   0 meV/atom
Density of states at the Fermi level   2.7 states/eV/f.u.
Energy relative to the elements, uncorrected   66.405 kcal/mol of atoms

The structure in extended XYZ format:
```
5
Lattice="4.090 0.000 0.000 0.000 4.090 0.000 0.000 0.000 4.090" Properties=species:S:1:pos:R:3 pbc="T T T"
Ge 0.000 0.000 0.000
C 0.000 0.000 2.045
C 0.000 2.045 0.000
C 2.045 0.000 0.000
Br 2.045 2.045 2.045
```

(5)
# GeC2Br

A relaxed GeC2Br crystal (PBE, Alexandria via LeMat-Bulk).

Summary:
Magnetization   0.00 μB per formula unit
SG   Fm-3m, No. 225
Polymorph energy (0 for the lowest one)   922 meV/atom
Density of states at the Fermi level   2.7 states/eV/f.u.
Energy relative to the elements, uncorrected   64.617 kcal/mol of atoms

The structure in extended XYZ format:
```
16
Lattice="6.034 0.000 0.000 0.000 6.034 0.000 0.000 0.000 6.034" Properties=species:S:1:pos:R:3 pbc="T T T"
Ge 0.000 0.000 0.000
Ge 0.000 3.017 3.017
Ge 3.017 0.000 3.017
Ge 3.017 3.017 0.000
C 1.509 1.509 1.509
C 1.509 1.509 4.526
C 1.509 4.526 1.509
C 1.509 4.526 4.526
C 4.526 1.509 1.509
C 4.526 1.509 4.526
C 4.526 4.526 1.509
C 4.526 4.526 4.526
Br 0.000 0.000 3.017
Br 0.000 3.017 0.000
Br 3.017 0.000 0.000
Br 3.017 3.017 3.017
```

(6)
# GeC2Br

A relaxed GeC2Br crystal (PBE, Alexandria via LeMat-Bulk).

Summary:
Magnetization   0.00 μB per formula unit
SG   I-42d, No. 122
Polymorph energy (0 for the lowest one)   0 meV/atom
Density of states at the Fermi level   3.4 states/eV/f.u.
Energy relative to the elements, uncorrected   43.362 kcal/mol of atoms

The structure in extended XYZ format:
```
16
Lattice="5.344 0.000 0.000 0.000 5.344 0.000 0.000 0.000 8.706" Properties=species:S:1:pos:R:3 pbc="T T T"
Ge 0.000 0.000 0.000
Ge 0.000 2.672 2.177
Ge 2.672 0.000 6.530
Ge 2.672 2.672 4.353
C 0.924 1.336 1.088
C 1.336 3.596 3.265
C 1.336 4.421 7.618
C 1.749 1.336 5.441
C 3.596 4.008 5.441
C 4.008 0.924 7.618
C 4.008 1.749 3.265
C 4.421 4.008 1.088
Br 0.000 0.000 4.353
Br 0.000 2.672 6.530
Br 2.672 0.000 2.177
Br 2.672 2.672 0.000
```

(7)
# GeC3Br

A relaxed GeC3Br crystal (PBE, Alexandria via LeMat-Bulk).

Summary:
Magnetization   0.00 μB per formula unit
SG   Pm-3m, No. 221
Polymorph energy (0 for the lowest one)   614 meV/atom
Density of states at the Fermi level   4.4 states/eV/f.u.
Energy relative to the elements, uncorrected   80.562 kcal/mol of atoms

The structure in extended XYZ format:
```
5
Lattice="4.076 0.000 0.000 0.000 4.076 0.000 0.000 0.000 4.076" Properties=species:S:1:pos:R:3 pbc="T T T"
Ge 0.000 0.000 0.000
C 0.000 2.038 2.038
C 2.038 0.000 2.038
C 2.038 2.038 0.000
Br 2.038 2.038 2.038
```

(8)
# GePH6CBr3

A relaxed GePH6CBr3 crystal (PBE, Alexandria via LeMat-Bulk).

Summary:
Magnetization   0.00 μB per formula unit
SG   P1, No. 1
Polymorph energy (0 for the lowest one)   4 meV/atom
Density of states at the Fermi level   0.0 states/eV/f.u.

The structure in extended XYZ format:
```
48
Lattice="7.426 0.000 0.000 -0.294 8.123 0.000 -0.180 -0.204 15.762" Properties=species:S:1:pos:R:3 pbc="T T T"
Ge 0.000 0.000 0.000
Ge -0.226 3.932 7.177
Ge 3.186 7.870 15.087
Ge 3.445 3.952 7.908
P 0.956 4.032 2.889
P 2.187 7.895 10.771
P 5.025 7.675 5.754
P 5.745 3.474 13.610
H -0.080 3.405 2.153
H 0.206 0.357 10.304
H 0.527 5.320 3.249
H 0.437 7.018 9.401
H 1.160 3.290 4.078
H 1.251 0.525 8.855
H 1.915 7.132 11.932
H 2.272 4.732 1.015
H 2.754 3.110 1.617
H 2.892 1.050 11.184
H 3.257 4.586 2.511
H 3.255 7.283 10.072
H 4.253 0.695 3.943
H 4.013 6.706 5.892
H 4.495 2.834 13.772
H 5.115 0.526 6.764
H 5.142 5.073 11.938
H 5.178 7.635 3.360
H 5.650 3.510 11.212
H 5.998 1.085 4.052
H 5.879 4.426 14.651
H 6.274 7.056 5.984
H 6.762 2.514 13.766
H 6.880 4.644 11.865
C 1.023 -0.099 9.730
C 2.460 4.126 1.912
C 5.255 0.281 4.116
C 5.864 4.249 11.997
Br 1.205 1.966 6.305
Br 1.263 5.860 6.258
Br 1.578 0.175 2.000
Br 1.633 5.945 14.240
Br 1.852 4.067 9.889
Br 2.075 1.695 14.117
Br 4.923 2.043 8.854
Br 4.808 7.816 13.056
Br 4.980 5.921 8.692
Br 5.603 3.974 5.131
Br 5.784 1.938 0.762
Br 5.717 6.189 0.947
```

(9)
# GePH6CBr3

A relaxed GePH6CBr3 crystal (PBE, Alexandria via LeMat-Bulk).

Summary:
Magnetization   0.00 μB per formula unit
SG   P1, No. 1
Polymorph energy (0 for the lowest one)   0 meV/atom
Density of states at the Fermi level   0.0 states/eV/f.u.

The structure in extended XYZ format:
```
12
Lattice="6.108 0.000 0.000 0.179 6.208 0.000 0.967 0.202 6.190" Properties=species:S:1:pos:R:3 pbc="T T T"
Ge 0.000 0.000 0.000
P 3.021 3.414 2.581
H 1.767 3.364 3.206
H 3.068 4.547 1.738
H 3.146 2.263 1.767
H 4.206 4.375 4.422
H 4.303 2.576 4.426
H 5.290 3.533 3.266
C 4.334 3.478 3.800
Br 0.252 3.676 0.294
Br 1.113 0.269 3.683
Br 3.560 0.238 0.135
```

(10)
# GePH6CBr3

A relaxed GePH6CBr3 crystal (PBE, Alexandria via LeMat-Bulk).

Summary:
Magnetization   0.00 μB per formula unit
SG   P1, No. 1
Polymorph energy (0 for the lowest one)   3 meV/atom
Density of states at the Fermi level   0.0 states/eV/f.u.

The structure in extended XYZ format:
```
24
Lattice="6.098 0.000 0.000 0.239 8.641 0.000 0.277 0.172 8.954" Properties=species:S:1:pos:R:3 pbc="T T T"
Ge 0.000 0.000 0.000
Ge 0.320 4.396 4.466
P 3.219 3.666 8.549
P 3.038 0.121 5.121
H 1.785 3.199 0.352
H 1.878 0.817 5.525
H 2.405 7.882 3.082
H 2.631 5.909 8.009
H 3.027 3.155 7.255
H 3.022 0.801 2.840
H 3.326 7.549 5.823
H 3.387 5.657 0.518
H 4.207 7.936 3.081
H 4.034 2.837 0.206
H 4.150 0.897 5.524
H 4.402 5.615 7.849
C 3.289 8.475 3.356
C 3.509 5.430 8.463
Br 0.269 6.692 1.576
Br 2.824 0.355 8.570
Br 2.804 4.063 4.270
Br 6.098 2.674 6.356
Br 5.972 1.861 1.714
Br 6.448 6.480 5.933
```

(11)
# GeIrC2Br

A relaxed GeIrC2Br crystal (PBE, Alexandria via LeMat-Bulk).

Summary:
Magnetization   0.06 μB per formula unit
SG   P4/mmm, No. 123
Density of states at the Fermi level   2.2 states/eV/f.u.
Energy relative to the elements, uncorrected   23.908 kcal/mol of atoms

The structure in extended XYZ format:
```
5
Lattice="3.912 0.000 0.000 0.000 3.912 0.000 0.000 0.000 5.788" Properties=species:S:1:pos:R:3 pbc="T T T"
Ge 0.000 0.000 0.000
Ir 0.000 0.000 2.894
C 0.000 1.956 2.894
C 1.956 0.000 2.894
Br 1.956 1.956 0.000
```

(12)
# LaGeCBr2

A relaxed LaGeCBr2 crystal (PBE, Alexandria via LeMat-Bulk).

Summary:
Magnetization   0.00 μB per formula unit
SG   P4/mmm, No. 123
Density of states at the Fermi level   3.2 states/eV/f.u.
Energy relative to the elements, uncorrected   8.626 kcal/mol of atoms

The structure in extended XYZ format:
```
5
Lattice="4.825 0.000 0.000 0.000 4.825 0.000 0.000 0.000 4.669" Properties=species:S:1:pos:R:3 pbc="T T T"
La 0.000 0.000 0.000
Ge 2.413 2.413 0.000
C 2.413 2.413 2.334
Br 0.000 2.413 2.334
Br 2.413 0.000 2.334
```

(13)
# La4GeCBr2

A relaxed La4GeCBr2 crystal (PBE, Alexandria via LeMat-Bulk).

Summary:
Magnetization   0.00 μB per formula unit
SG   P2/m, No. 10
Density of states at the Fermi level   4.0 states/eV/f.u.
Energy relative to the elements, uncorrected   -23.576 kcal/mol of atoms

The structure in extended XYZ format:
```
8
Lattice="7.265 0.000 0.000 0.000 4.141 0.000 -2.416 0.000 7.581" Properties=species:S:1:pos:R:3 pbc="T T T"
La 1.041 0.000 1.445
La -0.227 2.070 6.050
La 5.075 2.070 1.530
La 3.808 0.000 6.136
Ge 3.633 0.000 0.000
C 0.000 2.070 0.000
Br -1.208 0.000 3.790
Br 2.424 2.070 3.790
```

(14)
# NaGeCBr2

A relaxed NaGeCBr2 crystal (PBE, Alexandria via LeMat-Bulk).

Summary:
Magnetization   1.07 μB per formula unit
SG   P4/mmm, No. 123
Density of states at the Fermi level   1.9 states/eV/f.u.
Energy relative to the elements, uncorrected   6.418 kcal/mol of atoms

The structure in extended XYZ format:
```
5
Lattice="5.661 0.000 0.000 0.000 5.661 0.000 0.000 0.000 3.700" Properties=species:S:1:pos:R:3 pbc="T T T"
Na 0.000 0.000 0.000
Ge 2.830 2.830 1.850
C 2.830 2.830 0.000
Br 0.000 2.830 1.850
Br 2.830 0.000 1.850
```

(15)
# Nd6GeC2Br3

A relaxed Nd6GeC2Br3 crystal (PBE, Alexandria via LeMat-Bulk).

Summary:
Magnetization   0.00 μB per formula unit
SG   C2/m, No. 12
Density of states at the Fermi level   5.2 states/eV/f.u.
Energy relative to the elements, uncorrected   -21.864 kcal/mol of atoms

The structure in extended XYZ format:
```
12
Lattice="9.427 -1.979 0.000 9.427 1.979 0.000 -2.967 0.000 8.258" Properties=species:S:1:pos:R:3 pbc="T T T"
Nd -0.231 0.000 2.084
Nd 4.637 0.000 3.709
Nd 3.746 0.000 7.077
Nd 12.141 0.000 1.182
Nd 11.249 0.000 4.550
Nd 16.117 0.000 6.174
Ge 9.427 0.000 0.000
C 2.215 0.000 2.797
C 13.672 0.000 5.462
Br 0.626 0.000 6.860
Br 7.943 0.000 4.129
Br 15.260 0.000 1.398
```

(16)
# Nd4GeCBr2

A relaxed Nd4GeCBr2 crystal (PBE, Alexandria via LeMat-Bulk).

Summary:
Magnetization   0.00 μB per formula unit
SG   P2/m, No. 10
Density of states at the Fermi level   3.6 states/eV/f.u.
Energy relative to the elements, uncorrected   -22.491 kcal/mol of atoms

The structure in extended XYZ format:
```
8
Lattice="7.131 0.000 0.000 0.000 4.042 0.000 -2.373 0.000 7.421" Properties=species:S:1:pos:R:3 pbc="T T T"
Nd 1.026 0.000 1.403
Nd -0.229 2.021 5.944
Nd 4.987 2.021 1.477
Nd 3.732 0.000 6.018
Ge 3.565 0.000 0.000
C 0.000 2.021 0.000
Br -1.186 0.000 3.710
Br 2.379 2.021 3.710
```

(17)
# GeOsCBr2

A relaxed GeOsCBr2 crystal (PBE, Alexandria via LeMat-Bulk).

Summary:
Magnetization   0.00 μB per formula unit
SG   P4/mmm, No. 123
Density of states at the Fermi level   3.7 states/eV/f.u.
Energy relative to the elements, uncorrected   21.967 kcal/mol of atoms

The structure in extended XYZ format:
```
5
Lattice="5.295 0.000 0.000 0.000 5.295 0.000 0.000 0.000 3.820" Properties=species:S:1:pos:R:3 pbc="T T T"
Ge 0.000 0.000 0.000
Os 2.648 2.648 1.910
C 2.648 2.648 0.000
Br 0.000 2.648 1.910
Br 2.648 0.000 1.910
```

(18)
# GePC2Br

A relaxed GePC2Br crystal (PBE, Alexandria via LeMat-Bulk).

Summary:
Magnetization   0.00 μB per formula unit
SG   P4/mmm, No. 123
Density of states at the Fermi level   2.6 states/eV/f.u.
Energy relative to the elements, uncorrected   37.823 kcal/mol of atoms

The structure in extended XYZ format:
```
5
Lattice="3.648 0.000 0.000 0.000 3.648 0.000 0.000 0.000 6.562" Properties=species:S:1:pos:R:3 pbc="T T T"
Ge 0.000 0.000 0.000
P 1.824 1.824 3.281
C 0.000 1.824 3.281
C 1.824 0.000 3.281
Br 1.824 1.824 0.000
```

(19)
# GePb2CBr

A relaxed GePb2CBr crystal (PBE, Alexandria via LeMat-Bulk).

Summary:
Magnetization   0.00 μB per formula unit
SG   P4/mmm, No. 123
Density of states at the Fermi level   2.9 states/eV/f.u.
Energy relative to the elements, uncorrected   16.909 kcal/mol of atoms

The structure in extended XYZ format:
```
5
Lattice="5.922 0.000 0.000 0.000 5.922 0.000 0.000 0.000 3.797" Properties=species:S:1:pos:R:3 pbc="T T T"
Ge 0.000 0.000 0.000
Pb 0.000 2.961 0.000
Pb 2.961 0.000 0.000
C 0.000 0.000 1.899
Br 2.961 2.961 1.899
```

(20)
# Pm4GeCBr2

A relaxed Pm4GeCBr2 crystal (PBE, Alexandria via LeMat-Bulk).

Summary:
Magnetization   0.00 μB per formula unit
SG   P2/m, No. 10
Density of states at the Fermi level   3.6 states/eV/f.u.
Energy relative to the elements, uncorrected   -22.719 kcal/mol of atoms

The structure in extended XYZ format:
```
8
Lattice="7.087 0.000 0.000 0.000 4.012 0.000 -2.350 0.000 7.344" Properties=species:S:1:pos:R:3 pbc="T T T"
Pm 1.017 0.000 1.382
Pm -0.223 2.006 5.885
Pm 4.960 2.006 1.458
Pm 3.720 0.000 5.961
Ge 3.543 0.000 0.000
C 0.000 2.006 0.000
Br -1.175 0.000 3.672
Br 2.368 2.006 3.672
```